Compound: TlPb4
Source: Alexandria
Functional: PBE
Structure: optimized geometry

Structure (CIF):
```
data_TlPb4
_space_group_name_H-M_alt 'P 1'
_space_group_IT_number 1
_space_group_name_Hall 'P 1'
_cell_length_a 8.313
_cell_length_b 8.313
_cell_length_c 8.313
_cell_angle_alpha 146.18
_cell_angle_beta 146.18
_cell_angle_gamma 48.57
loop_
_atom_site_label
_atom_site_fract_x
_atom_site_fract_y
_atom_site_fract_z
_atom_site_occupancy
Tl1 0.000 0.000 0.000 1
Pb1 0.250 0.750 0.500 1
Pb2 0.396 0.396 0.000 1
Pb3 0.604 0.604 0.000 1
Pb4 0.750 0.250 0.500 1
```

Results
The calculation puts the energy relative to the lowest polymorph listed for this composition at 0.1045 eV per atom. As for the space-group type: I4/mmm. The calculation puts the formation energy at 104 meV/atom. Its crystal system is tetragonal. For the total moment, the calculation gives 0.00 μB/f.u.